Density functional theory data (PBE-GGA) for crystalline La2SmHg2 at its relaxed geometry.

Cell: 3.8436 5.4858 14.5249 Å, 90.00 97.60 90.00°
Closest atoms and distances in Å follow each position.
Space group P2_1/m (No. 11)
Asymmetric unit:
La  0.0438  0.2500  0.0873  8 Hg 3.36-3.45, 2 La 3.72
La  0.2319  0.2500  0.4672  2 Hg 3.31-3.32, 4 La 3.47-3.49
Sm  0.1484  0.7500  0.2926  6 Hg 3.24-3.36
Hg  0.3607  0.7500  0.7202  4 La 3.31-3.37, 4 Sm 3.35-3.36, 2 Hg 3.66
Hg  0.4428  0.2500  0.8888  2 Sm 3.24, 6 La 3.36-3.45

The calculation puts the distance to the lowest polymorph of the same formula at 0.000 eV/atom. As for the crystal system: monoclinic. Its mass density is 9.07 g/cm3. For the formation energy, the calculation gives -0.3763 eV per atom. Its total energy is -3.412 eV per atom.